Hf2NbTl | GGA-PBE | optimized geometry

The space group is P2 (No. 3) and the conventional cell measures 5.0478, 6.7429 and 5.0568 Å, with angles of 90.00, 98.48 and 90.00 degrees. The asymmetric unit holds Hf at (0.0000, 0.0000, 0.0000), Hf at (0.0000, 0.2367, 0.5000), Hf at (0.0000, 0.4840, 0.0000), Hf at (0.5000, 0.4828, 0.5000), Nb at (0.5000, 0.0066, 0.5000), Nb at (0.5000, 0.2390, 0.0000), Tl at (0.0000, 0.7460, 0.5000) and Tl at (0.5000, 0.7466, 0.0000).

Its energy relative to the elements is 77 meV per atom. The total magnetic moment is 0.0 μB per cell. The volume comes out at 21.28 Å³/atom. The value obtained for the density of states at the Fermi level is 3.7 states/eV/f.u. For the relative energy among the computed polymorphs, the calculation gives 95 meV per atom.

Sr2ScSb | GGA-PBE | optimized geometry

The space group is Immm (No. 71) and the conventional cell measures 4.7450, 4.8251 and 11.2002 Å, with angles of 90.00, 90.00 and 90.00 degrees. The asymmetric unit holds Sr at (0.0000, 0.0000, 0.2460), Sc at (0.0000, 0.5000, 0.0000) and Sb at (0.0000, 0.5000, 0.5000).

The total magnetic moment is 0.0 μB per cell. The volume comes out at 32.05 Å³/atom. The value obtained for the density of states at the Fermi level is 3.3 states/eV/f.u. Its uncorrected formation energy is -23 kJ/mol of atoms.

LaIn2P | GGA-PBE | optimized geometry

The space group is P4/mmm (No. 123) and the conventional cell measures 3.8040, 3.8040 and 6.9161 Å, with angles of 90.00, 90.00 and 90.00 degrees. The asymmetric unit holds La at (0.0000, 0.0000, 0.0000), In at (0.5000, 0.5000, 0.2968) and P at (0.0000, 0.0000, 0.5000).

Its energy relative to the elements is -228 meV per atom. The total magnetic moment is 0.3 μB per cell. The volume comes out at 25.02 Å³/atom. The value obtained for the density of states at the Fermi level is 2.8 states/eV/f.u.

TmGa12Co6 | GGA-PBE | optimized geometry

The space group is R-3m (No. 166, hexagonal axes) and the conventional cell measures 10.9586, 10.9586 and 8.3119 Å, with angles of 90.00, 90.00 and 120.00 degrees. The asymmetric unit holds Tm at (0.0000, 0.0000, 0.0000), Ga at (0.0000, 0.3835, 0.5000), Ga at (0.0881, 0.1762, 0.3224) and Co at (0.0516, 0.5258, 0.2513).

Its energy relative to the elements is -205 meV per atom. The total magnetic moment is 0.0 μB per cell. The volume comes out at 15.17 Å³/atom. The value obtained for the density of states at the Fermi level is 11.4 states/eV/f.u.

TcTeSe2 | GGA-PBE | optimized geometry

The space group is I4/mmm (No. 139) and the conventional cell measures 5.5299, 5.5299 and 5.4994 Å, with angles of 90.00, 90.00 and 90.00 degrees. The asymmetric unit holds Tc at (0.0000, 0.0000, 0.0000), Te at (0.0000, 0.0000, 0.5000) and Se at (0.0000, 0.5000, 0.0000).

The total magnetic moment is 1.5 μB per cell. The volume comes out at 21.02 Å³/atom. The value obtained for the density of states at the Fermi level is 3.8 states/eV/f.u. Its uncorrected formation energy is 42 kJ/mol of atoms.

Tb5CdSn2 | GGA-PBE | optimized geometry

The space group is Cmcm (No. 63) and the conventional cell measures 5.4241, 11.3324 and 15.7393 Å, with angles of 90.00, 90.00 and 90.00 degrees. The asymmetric unit holds Tb at (0.0000, 0.0755, 0.0940), Tb at (0.0000, 0.3832, 0.0595), Tb at (0.0000, 0.4003, 0.7500), Cd at (0.0000, 0.2873, 0.2500) and Sn at (0.0000, 0.2216, 0.6038).

Its energy relative to the elements is -243 meV per atom. The total magnetic moment is 0.0 μB per cell. The volume comes out at 30.23 Å³/atom. The value obtained for the density of states at the Fermi level is 5.9 states/eV/f.u.

What did the first record say?
Hf2NbTl | GGA-PBE | optimized geometry

The space group is P2 (No. 3) and the conventional cell measures 5.0478, 6.7429 and 5.0568 Å, with angles of 90.00, 98.48 and 90.00 degrees. The asymmetric unit holds Hf at (0.0000, 0.0000, 0.0000), Hf at (0.0000, 0.2367, 0.5000), Hf at (0.0000, 0.4840, 0.0000), Hf at (0.5000, 0.4828, 0.5000), Nb at (0.5000, 0.0066, 0.5000), Nb at (0.5000, 0.2390, 0.0000), Tl at (0.0000, 0.7460, 0.5000) and Tl at (0.5000, 0.7466, 0.0000).

Its energy relative to the elements is 77 meV per atom. The total magnetic moment is 0.0 μB per cell. The volume comes out at 21.28 Å³/atom. The value obtained for the density of states at the Fermi level is 3.7 states/eV/f.u. For the relative energy among the computed polymorphs, the calculation gives 95 meV per atom.

Question: Which formula does entry 2 have?
Answer: Sr2ScSb

Please write out number 4 again, unchanged.
TmGa12Co6 | GGA-PBE | optimized geometry

The space group is R-3m (No. 166, hexagonal axes) and the conventional cell measures 10.9586, 10.9586 and 8.3119 Å, with angles of 90.00, 90.00 and 120.00 degrees. The asymmetric unit holds Tm at (0.0000, 0.0000, 0.0000), Ga at (0.0000, 0.3835, 0.5000), Ga at (0.0881, 0.1762, 0.3224) and Co at (0.0516, 0.5258, 0.2513).

Its energy relative to the elements is -205 meV per atom. The total magnetic moment is 0.0 μB per cell. The volume comes out at 15.17 Å³/atom. The value obtained for the density of states at the Fermi level is 11.4 states/eV/f.u.